Density functional theory data (PBE) for a relaxed structure of RbPmMgF6.

```
RbPmMgF6
1.0
-2.989 -3.880 -6.128
0.246 -6.262 3.845
-3.374 5.960 2.893
Rb Pm Mg F
2 2 2 12
Direct
0.837 0.587 0.675 Rb
0.163 0.413 0.325 Rb
0.500 0.000 0.500 Pm
0.000 0.000 0.500 Pm
0.500 0.500 0.000 Mg
0.500 0.000 0.000 Mg
0.577 0.827 0.153 F
0.866 0.116 0.732 F
0.819 0.152 0.268 F
0.448 0.616 0.268 F
0.448 0.152 0.268 F
0.819 0.616 0.268 F
0.423 0.173 0.847 F
0.134 0.884 0.268 F
0.181 0.848 0.732 F
0.552 0.384 0.732 F
0.552 0.848 0.732 F
0.181 0.384 0.732 F
```

Raw formation energy, kJ per mole of atoms: -346.2